1.
## Ac4LaPr7 (PBE)

Data for a relaxed Ac4LaPr7 crystal.

## Properties
raw total energy = -105.0 eV/cell
calculated formation energy = 224.2 kJ/mol of formula units

a b c (Å): 12.549 6.355 13.467
angles (deg): 90.00 115.86 90.00
Space group C2/m (No. 12)
Inequivalent atoms, fractional coordinates:
Ac 0.062 0.000 0.327 (multiplicity 4)
Ac 0.144 0.500 0.776 (multiplicity 4)
La 0.000 0.500 0.000 (multiplicity 2)
Pr 0.000 0.000 0.000 (multiplicity 2)
Pr 0.132 0.500 0.500 (multiplicity 4)
Pr 0.215 0.000 0.924 (multiplicity 4)
Pr 0.247 0.000 0.679 (multiplicity 4)



2.
## TlTcSb2 (PBE)

Data for a relaxed TlTcSb2 crystal.

## Properties
raw total energy = -77.1 eV/cell
energy above the most stable polymorph in this dataset = 408 meV/atom
uncorrected formation energy = 0.42 eV per atom

a b c (Å): 6.495 6.495 13.029
angles (deg): 90.00 90.00 90.00
Space group I-42d (No. 122)
Inequivalent atoms, fractional coordinates:
Tl 0.000 0.000 0.000 (multiplicity 4)
Tc 0.000 0.000 0.500 (multiplicity 4)
Sb 0.167 0.250 0.625 (multiplicity 8)



3.
## Sm2TlBr (PBE)

Data for a relaxed Sm2TlBr crystal.

## Properties
raw total energy = -16.2 eV/cell
energy above the most stable polymorph in this dataset = 23 meV/atom
uncorrected formation energy = -0.67 eV per atom

a b c (Å): 3.605 3.605 8.413
angles (deg): 90.00 90.00 90.00
Space group P4/mmm (No. 123)
Inequivalent atoms, fractional coordinates:
Sm 0.000 0.000 0.245 (multiplicity 2)
Tl 0.500 0.500 0.000 (multiplicity 1)
Br 0.500 0.500 0.500 (multiplicity 1)



4.
## Ho5Cd2Bi (PBE)

Data for a relaxed Ho5Cd2Bi crystal.

## Properties
raw total energy = -125.8 eV/cell
calculated formation energy = -274.9 kJ/mol of formula units

a b c (Å): 8.364 8.364 12.942
angles (deg): 90.00 90.00 90.00
Space group I4/mcm (No. 140)
Inequivalent atoms, fractional coordinates:
Ho 0.000 0.000 0.000 (multiplicity 4)
Ho 0.153 0.347 0.149 (multiplicity 16)
Cd 0.140 0.360 0.500 (multiplicity 8)
Bi 0.000 0.000 0.250 (multiplicity 4)



Look up the raw total energy of the second one. -77.1 eV/cell



Among the records above, which one has the lowest raw total energy? Ho5Cd2Bi



Among the records above, which one has the lowest raw total energy? Ho5Cd2Bi



Which of these has the highest raw total energy? Sm2TlBr